# 1
Material: SiOs2
Method: DFT, SCAN
State: single point on PBEsol structure

Output
Space group = No. 71
Total magnetic moment = 0.00 μB per formula unit
Crystal system = orthorhombic
Fermi-level density of states = 1.01 states/eV/cell
Calculated volume = 13.5 Å³ per atom
Raw total energy = -153.49 eV/cell

Cell lengths 2.7749, 3.8350, 4.4847 Å; angles 115.31, 108.02, 90.00 degrees
Fractional coordinates of all 3 atoms:
Os: 0.3285 0.3285 0.6570
Os: 0.6715 0.6715 0.3430
Si: 0.0000 0.0000 0.0000


# 2
Material: SiOs3
Method: DFT, SCAN
State: single point on PBEsol structure

Output
Space group = No. 166
Total magnetic moment = 0.00 μB per formula unit
Crystal system = trigonal
Fermi-level density of states = 2.61 states/eV/cell
Calculated volume = 13.5 Å³ per atom
Raw total energy = -225.64 eV/cell

Cell lengths 2.7402, 2.7402, 8.4644 Å; angles 80.68, 80.68, 60.00 degrees
Fractional coordinates of all 4 atoms:
Os: 0.7458 0.7458 0.7625
Os: 0.5000 0.5000 0.5000
Os: 0.2542 0.2542 0.2375
Si: 0.0000 0.0000 0.0000


# 3
Material: SiOs
Method: DFT, SCAN
State: single point on PBEsol structure

Output
Space group = No. 221
Total magnetic moment = 0.00 μB per formula unit
Crystal system = cubic
Fermi-level density of states = 0.26 states/eV/cell
Calculated volume = 12.6 Å³ per atom
Raw total energy = -82.82 eV/cell

Cell lengths 2.9343, 2.9343, 2.9343 Å; angles 90.00, 90.00, 90.00 degrees
Fractional coordinates of all 2 atoms:
Si: 0.0000 0.0000 0.0000
Os: 0.5000 0.5000 0.5000


# 4
Material: SiOs
Method: DFT, SCAN
State: single point on PBEsol structure

Output
Space group = No. 198
Total magnetic moment = 0.00 μB per formula unit
Crystal system = cubic
Calculated volume = 13.3 Å³ per atom
Raw total energy = -330.94 eV/cell

Cell lengths 4.7432, 4.7432, 4.7432 Å; angles 90.00, 90.00, 90.00 degrees
Fractional coordinates of all 8 atoms:
Si: 0.4133 0.9133 0.5867
Si: 0.0867 0.0867 0.0867
Si: 0.5867 0.4133 0.9133
Si: 0.9133 0.5867 0.4133
Os: 0.1240 0.6240 0.8760
Os: 0.3760 0.3760 0.3760
Os: 0.8760 0.1240 0.6240
Os: 0.6240 0.8760 0.1240


# 5
Material: SiOs
Method: DFT, SCAN
State: single point on PBEsol structure

Output
Space group = No. 59
Total magnetic moment = 0.00 μB per formula unit
Crystal system = orthorhombic
Fermi-level density of states = 1.28 states/eV/cell
Calculated volume = 13.2 Å³ per atom
Raw total energy = -164.96 eV/cell

Cell lengths 2.8766, 4.2688, 4.2863 Å; angles 90.00, 90.00, 90.00 degrees
Fractional coordinates of all 4 atoms:
Os: 0.0000 0.0000 0.6249
Os: 0.5000 0.5000 0.3751
Si: 0.5000 0.0000 0.0933
Si: 0.0000 0.5000 0.9067


# 6
Material: SiOs3
Method: DFT, SCAN
State: single point on PBEsol structure

Output
Space group = No. 187
Total magnetic moment = 0.00 μB per formula unit
Crystal system = hexagonal
Fermi-level density of states = 3.23 states/eV/cell
Calculated volume = 13.6 Å³ per atom
Raw total energy = -225.56 eV/cell

Cell lengths 2.7861, 2.7861, 8.0654 Å; angles 90.00, 90.00, 120.00 degrees
Fractional coordinates of all 4 atoms:
Os: 0.0000 0.0000 0.2668
Os: 0.0000 0.0000 0.7332
Os: 0.3333 0.6667 0.0000
Si: 0.3333 0.6667 0.5000